Here is a geometry-optimized Cd2HgBi2 structure from the Alexandria database. Energies are from GGA-PBE.

The calculation puts the calculated total energy at -1.894 eV/atom. The density of states at the Fermi level is 0.3844 states/eV per atom. As for the polymorph energy (0 for the lowest one): 17 meV/atom.

The structure belongs to space group I4/mmm (No. 139); the cell edges are 4.714, 4.714 and 14.209 Å and the angles 90.00°, 90.00° and 90.00°. Symmetry generates all atoms from Cd at (0.000, 0.000, 0.097), Hg at (0.000, 0.000, 0.500) and Bi at (0.000, 0.500, 0.250).